# 1
Crystalline KHgAs at its relaxed geometry. Source: Alexandria via LeMat-Bulk, functional PBE.

Computed properties:
ΔE_f (meV per atom): 147
DFT total energy (eV/atom): -1.87

Cell and atoms, written as POSCAR:
```
KHgAs
1.0
3.4665 0.0000 0.0000
-1.7332 3.0021 0.0000
0.0000 0.0000 7.9702
K Hg As
1 1 1
Direct
0.0000 0.0000 0.0000 K
0.3333 0.6667 0.6518 Hg
0.6667 0.3333 0.3384 As
```


# 2
Crystalline Na2Cd2InHg5 at its relaxed geometry. Source: Alexandria via LeMat-Bulk, functional PBE.

Computed properties:
ΔE_f (meV per atom): -89
DFT total energy (eV/atom): -0.96

Cell and atoms, written as POSCAR:
```
Na2Cd2InHg5
1.0
10.9330 0.0000 0.0000
0.0000 10.9330 0.0000
0.0000 0.0000 4.4444
Na Cd In Hg
4 4 2 10
Direct
0.1688 0.3312 0.0000 Na
0.3312 0.8312 0.0000 Na
0.6688 0.1688 0.0000 Na
0.8312 0.6688 0.0000 Na
0.1281 0.6281 0.0000 Cd
0.3719 0.1281 0.0000 Cd
0.6281 0.8719 0.0000 Cd
0.8719 0.3719 0.0000 Cd
0.0000 0.0000 0.0000 In
0.5000 0.5000 0.0000 In
0.0000 0.5000 0.5000 Hg
0.0883 0.8117 0.5000 Hg
0.1883 0.0883 0.5000 Hg
0.3117 0.5883 0.5000 Hg
0.4117 0.3117 0.5000 Hg
0.5000 0.0000 0.5000 Hg
0.5883 0.6883 0.5000 Hg
0.6883 0.4117 0.5000 Hg
0.8117 0.9117 0.5000 Hg
0.9117 0.1883 0.5000 Hg
```


# 3
Crystalline LiGa2TeO6 at its relaxed geometry. Source: Alexandria via LeMat-Bulk, functional PBE.

Computed properties:
DFT total energy (eV/atom): -5.63

Cell and atoms, written as POSCAR:
```
LiGa2TeO6
1.0
4.9998 -4.5763 0.0000
4.9998 4.5763 0.0000
-0.9623 0.0000 5.2774
Li Ga Te O
2 4 2 12
Direct
0.0866 0.9134 0.7500 Li
0.9134 0.0866 0.2500 Li
0.2035 0.3973 0.7195 Ga
0.3973 0.2035 0.2195 Ga
0.6027 0.7965 0.7805 Ga
0.7965 0.6027 0.2805 Ga
0.2624 0.7376 0.2500 Te
0.7376 0.2624 0.7500 Te
0.0045 0.2158 0.6372 O
0.1341 0.6389 0.9003 O
0.2158 0.0045 0.1372 O
0.2782 0.4291 0.4022 O
0.3611 0.8659 0.5997 O
0.4291 0.2782 0.9022 O
0.5709 0.7218 0.0978 O
0.6389 0.1341 0.4003 O
0.7218 0.5709 0.5978 O
0.7842 0.9955 0.8628 O
0.8659 0.3611 0.0997 O
0.9955 0.7842 0.3628 O
```


# 4
Crystalline LaPm2Ag4 at its relaxed geometry. Source: Alexandria via LeMat-Bulk, functional PBE.

Computed properties:
ΔE_f (meV per atom): -61
DFT total energy (eV/atom): -3.75

Cell and atoms, written as POSCAR:
```
LaPm2Ag4
1.0
-3.8208 3.8208 3.4233
3.8208 -3.8208 3.4233
3.8208 3.8208 -3.4233
La Pm Ag
1 2 4
Direct
0.0000 0.0000 0.0000 La
0.0000 0.5000 0.5000 Pm
0.5000 0.0000 0.5000 Pm
0.0000 0.0000 0.5000 Ag
0.0000 0.5000 0.0000 Ag
0.5000 0.0000 0.0000 Ag
0.5000 0.5000 0.5000 Ag
```


# 5
Crystalline HgAsS2N at its relaxed geometry. Source: Alexandria via LeMat-Bulk, functional PBE.

Computed properties:
Excess energy over the best structure of this formula in the dataset (eV/atom): 1.124
DFT total energy (eV/atom): -2.35

Cell and atoms, written as POSCAR:
```
HgAsS2N
1.0
5.0111 0.0000 0.0000
0.0000 5.0111 0.0000
0.0000 0.0000 5.4909
Hg As S N
1 1 2 1
Direct
0.0000 0.0000 0.0000 Hg
0.0000 0.0000 0.5000 As
0.0000 0.5000 0.0000 S
0.5000 0.0000 0.0000 S
0.5000 0.5000 0.5000 N
```


# 6
Crystalline MgPb2Au at its relaxed geometry. Source: Alexandria via LeMat-Bulk, functional PBE.

Computed properties:
ΔE_f (meV per atom): -54
DFT total energy (eV/atom): -3.13

Cell and atoms, written as POSCAR:
```
MgPb2Au
1.0
-2.3237 2.3237 4.6192
2.3237 -2.3237 4.6192
2.3237 2.3237 -4.6192
Mg Pb Au
1 2 1
Direct
0.0000 0.0000 0.0000 Mg
0.2500 0.7500 0.5000 Pb
0.5000 0.5000 0.0000 Pb
0.7500 0.2500 0.5000 Au
```


# 7
Crystalline CoPb2S2 at its relaxed geometry. Source: Alexandria via LeMat-Bulk, functional PBE.

Computed properties:
Excess energy over the best structure of this formula in the dataset (eV/atom): 0.072
DFT total energy (eV/atom): -4.52

Cell and atoms, written as POSCAR:
```
CoPb2S2
1.0
6.4276 0.0000 0.0000
0.0000 6.4276 0.0000
0.0000 0.0000 5.2416
Co Pb S
2 4 4
Direct
0.0000 0.0000 0.0000 Co
0.5000 0.5000 0.0000 Co
0.1820 0.3180 0.5000 Pb
0.3180 0.8180 0.5000 Pb
0.6820 0.1820 0.5000 Pb
0.8180 0.6820 0.5000 Pb
0.1852 0.6852 0.0000 S
0.3148 0.1852 0.0000 S
0.6852 0.8148 0.0000 S
0.8148 0.3148 0.0000 S
```


# 8
Crystalline Cs2Na4Sn at its relaxed geometry. Source: Alexandria via LeMat-Bulk, functional PBE.

Computed properties:
ΔE_f (meV per atom): -29
DFT total energy (eV/atom): -1.60

Cell and atoms, written as POSCAR:
```
Cs2Na4Sn
1.0
-3.0680 3.0680 10.2650
3.0680 -3.0680 10.2650
3.0680 3.0680 -10.2650
Cs Na Sn
2 4 1
Direct
0.1403 0.1403 0.0000 Cs
0.8597 0.8597 0.0000 Cs
0.0000 0.5000 0.5000 Na
0.3507 0.3507 0.0000 Na
0.5000 0.0000 0.5000 Na
0.6493 0.6493 0.0000 Na
0.5000 0.5000 0.0000 Sn
```